No. 1
Here is a geometry-optimized Re2SbW structure from the Alexandria database. Energies are from PBE.

Calculated values
DFT total energy: -75.4 eV per cell
Spin magnetization: 0.000 μB/atom

a b c (Å): 4.107 4.107 9.448
angles (deg): 77.45 77.45 90.00
Fractional coordinates of all 8 atoms:
Re 0.375 0.325 0.750
Sb 0.500 0.500 0.000
W 0.000 0.000 0.000
Re 0.675 0.125 0.250
Sb 0.250 0.750 0.500
Re 0.875 0.925 0.750
W 0.750 0.250 0.500
Re 0.075 0.625 0.250

---

No. 2
Here is a geometry-optimized ReSb2W structure from the Alexandria database. Energies are from PBE.

Calculated values
DFT total energy: -30.8 eV per cell
Spin magnetization: 0.000 μB/atom

a b c (Å): 4.683 4.683 5.498
angles (deg): 78.66 78.66 38.99
Fractional coordinates of all 4 atoms:
Sb 0.998 0.998 0.003
Sb 0.502 0.502 0.497
Re 0.250 0.250 0.250
W 0.750 0.750 0.750

---

No. 3
Here is a geometry-optimized ReSb2W structure from the Alexandria database. Energies are from PBE.

Calculated values
DFT total energy: -32.1 eV per cell
Spin magnetization: 0.000 μB/atom

a b c (Å): 10.791 10.791 10.791
angles (deg): 16.66 16.66 16.66
Fractional coordinates of all 4 atoms:
Re 0.761 0.761 0.761
Sb 0.025 0.025 0.025
W 0.488 0.488 0.488
Sb 0.226 0.226 0.226

---

No. 4
Here is a geometry-optimized Re2SbW structure from the Alexandria database. Energies are from PBE.

Calculated values
DFT total energy: -40.5 eV per cell
Spin magnetization: 0.000 μB/atom

a b c (Å): 3.174 3.174 6.640
angles (deg): 90.00 90.00 90.00
Fractional coordinates of all 4 atoms:
Sb 0.500 0.500 0.250
W 0.500 0.500 0.750
Re 0.000 0.000 0.983
Re 0.000 0.000 0.517

---

No. 5
Here is a geometry-optimized ReSb2W structure from the Alexandria database. Energies are from PBE.

Calculated values
DFT total energy: -31.1 eV per cell
Spin magnetization: 0.000 μB/atom

a b c (Å): 3.302 3.302 6.602
angles (deg): 90.00 90.00 90.00
Fractional coordinates of all 4 atoms:
Sb 0.000 0.000 0.501
Sb 0.000 0.000 0.999
Re 0.500 0.500 0.750
W 0.500 0.500 0.250

---

No. 6
Here is a geometry-optimized ReSbW2 structure from the Alexandria database. Energies are from PBE.

Calculated values
DFT total energy: -40.3 eV per cell
Spin magnetization: 0.000 μB/atom

a b c (Å): 9.247 9.247 9.247
angles (deg): 18.47 18.47 18.47
Fractional coordinates of all 4 atoms:
Sb 0.751 0.751 0.751
W 0.997 0.997 0.997
Re 0.505 0.505 0.505
W 0.247 0.247 0.247

---

No. 7
Here is a geometry-optimized ReSbW4 structure from the Alexandria database. Energies are from PBE.

Calculated values
DFT total energy: -64.0 eV per cell
Spin magnetization: 0.000 μB/atom

a b c (Å): 5.289 5.289 5.289
angles (deg): 60.00 60.00 60.00
Fractional coordinates of all 6 atoms:
W 0.374 0.374 0.877
Sb 0.000 0.000 0.000
Re 0.750 0.750 0.750
W 0.374 0.877 0.374
W 0.877 0.374 0.374
W 0.374 0.374 0.374

---

No. 8
Here is a geometry-optimized YRe2SbW structure from the Alexandria database. Energies are from PBE.

Calculated values
DFT total energy: -32.9 eV per cell
Spin magnetization: 0.000 μB/atom

a b c (Å): 4.781 5.197 4.781
angles (deg): 90.00 90.00 90.00
Fractional coordinates of all 5 atoms:
W 0.500 0.500 0.500
Re 0.500 0.000 0.000
Re 0.000 0.000 0.500
Sb 0.000 0.500 0.000
Y 0.000 0.000 0.000

---

No. 9
Here is a geometry-optimized YReSb3 structure from the Alexandria database. Energies are from PBE.

Calculated values
DFT total energy: -29.0 eV per cell
Spin magnetization: 0.000 μB/atom

a b c (Å): 5.230 5.230 5.230
angles (deg): 90.00 90.00 90.00
Fractional coordinates of all 5 atoms:
Sb 0.500 0.000 0.000
Re 0.000 0.000 0.000
Sb 0.000 0.500 0.000
Y 0.500 0.500 0.500
Sb 0.000 0.000 0.500

---

No. 10
Here is a geometry-optimized YReSb2 structure from the Alexandria database. Energies are from PBE.

Calculated values
DFT total energy: -27.6 eV per cell
Spin magnetization: 0.000 μB/atom

a b c (Å): 5.009 5.009 6.687
angles (deg): 69.04 69.04 40.02
Fractional coordinates of all 4 atoms:
Re 0.235 0.235 0.107
Y 0.561 0.561 0.494
Sb 0.943 0.943 0.133
Sb 0.762 0.762 0.766

---

No. 11
Here is a geometry-optimized YReSb2 structure from the Alexandria database. Energies are from PBE.

Calculated values
DFT total energy: -26.0 eV per cell
Spin magnetization: 0.000 μB/atom

a b c (Å): 5.002 5.002 5.002
angles (deg): 60.00 60.00 60.00
Fractional coordinates of all 4 atoms:
Sb 0.750 0.750 0.750
Re 0.500 0.500 0.500
Y 0.250 0.250 0.250
Sb 0.000 0.000 0.000

---

No. 12
Here is a geometry-optimized YReSb2 structure from the Alexandria database. Energies are from PBE.

Calculated values
DFT total energy: -27.5 eV per cell
Spin magnetization: 0.000 μB/atom

a b c (Å): 7.162 7.162 7.162
angles (deg): 152.75 145.84 44.24
Fractional coordinates of all 4 atoms:
Re 0.782 0.282 0.500
Sb 0.942 0.942 0.000
Sb 0.220 0.720 0.500
Y 0.555 0.555 0.000

---

No. 13
Here is a geometry-optimized YReSb2 structure from the Alexandria database. Energies are from PBE.

Calculated values
DFT total energy: -27.5 eV per cell
Spin magnetization: 0.000 μB/atom

a b c (Å): 4.469 4.469 6.465
angles (deg): 77.81 77.81 47.73
Fractional coordinates of all 4 atoms:
Re 0.250 0.250 0.250
Sb 0.512 0.512 0.452
Sb 0.988 0.988 0.048
Y 0.750 0.750 0.750

---

No. 14
Here is a geometry-optimized YReSb2 structure from the Alexandria database. Energies are from PBE.

Calculated values
DFT total energy: -26.4 eV per cell
Spin magnetization: 0.122 μB/atom

a b c (Å): 5.640 5.640 5.640
angles (deg): 135.21 135.21 65.20
Fractional coordinates of all 4 atoms:
Sb 0.000 0.000 0.000
Y 0.500 0.500 0.000
Sb 0.250 0.750 0.500
Re 0.750 0.250 0.500

---

No. 15
Here is a geometry-optimized YReSb2 structure from the Alexandria database. Energies are from PBE.

Calculated values
DFT total energy: -27.3 eV per cell
Spin magnetization: 0.000 μB/atom

a b c (Å): 3.352 3.352 7.640
angles (deg): 90.00 90.00 90.00
Fractional coordinates of all 4 atoms:
Re 0.500 0.500 0.750
Sb 0.000 0.000 0.961
Sb 0.000 0.000 0.539
Y 0.500 0.500 0.250

---

No. 16
Here is a geometry-optimized YReSb2 structure from the Alexandria database. Energies are from PBE.

Calculated values
DFT total energy: -27.1 eV per cell
Spin magnetization: 0.000 μB/atom

a b c (Å): 4.486 3.648 5.704
angles (deg): 82.09 90.00 90.00
Fractional coordinates of all 4 atoms:
Y 0.500 0.250 0.250
Re 0.500 0.750 0.750
Sb 0.000 0.615 0.512
Sb 0.000 0.885 0.988

---

No. 17
Here is a geometry-optimized YRe3Sb structure from the Alexandria database. Energies are from PBE.

Calculated values
DFT total energy: -39.1 eV per cell
Spin magnetization: 0.415 μB/atom

a b c (Å): 4.873 4.873 4.873
angles (deg): 90.00 90.00 90.00
Fractional coordinates of all 5 atoms:
Re 0.000 0.500 0.000
Re 0.000 0.000 0.500
Sb 0.000 0.000 0.000
Re 0.500 0.000 0.000
Y 0.500 0.500 0.500

---

No. 18
Here is a geometry-optimized YRe3Sb structure from the Alexandria database. Energies are from PBE.

Calculated values
DFT total energy: -33.2 eV per cell
Spin magnetization: 0.521 μB/atom

a b c (Å): 4.893 4.893 4.893
angles (deg): 90.00 90.00 90.00
Fractional coordinates of all 5 atoms:
Sb 0.500 0.500 0.500
Re 0.000 0.500 0.000
Re 0.000 0.000 0.500
Y 0.000 0.000 0.000
Re 0.500 0.000 0.000

---

No. 19
Here is a geometry-optimized YReSb2 structure from the Alexandria database. Energies are from PBE.

Calculated values
DFT total energy: -51.0 eV per cell
Spin magnetization: 0.000 μB/atom

a b c (Å): 5.213 5.213 9.212
angles (deg): 73.56 73.56 90.00
Fractional coordinates of all 8 atoms:
Y 0.500 0.500 0.000
Sb 0.713 0.125 0.250
Sb 0.037 0.625 0.250
Re 0.750 0.250 0.500
Y 0.250 0.750 0.500
Sb 0.375 0.287 0.750
Re 0.000 0.000 0.000
Sb 0.875 0.963 0.750

---

No. 20
Here is a geometry-optimized Y4ReSb structure from the Alexandria database. Energies are from PBE.

Calculated values
DFT total energy: -38.1 eV per cell
Spin magnetization: 0.035 μB/atom

a b c (Å): 6.027 6.027 6.027
angles (deg): 60.00 60.00 60.00
Fractional coordinates of all 6 atoms:
Sb 0.000 0.000 0.000
Y 0.377 0.377 0.869
Y 0.869 0.377 0.377
Y 0.377 0.377 0.377
Y 0.377 0.869 0.377
Re 0.750 0.750 0.750